(a)
VASP calculation (PBE) on a relaxed structure of LiPtN2F.

extended XYZ file:
```
5
Lattice="3.8764 0.0000 0.0000 0.0000 3.8764 0.0000 0.0000 0.0000 3.2291" Properties=species:S:1:pos:R:3 pbc="T T T"
Li 0.0000 0.0000 0.0000
Pt 1.9382 1.9382 1.6145
N 0.0000 1.9382 0.0000
N 1.9382 0.0000 0.0000
F 0.0000 0.0000 1.6145
```

## Properties
The value obtained for the volume is 9.704 A^3/atom. The density of states at the Fermi level comes out at 3.85 states/eV/f.u. As for the size of the total moment: 0.00 μB per formula unit.


(b)
VASP calculation (PBE) on a relaxed structure of LiPtN2F.

extended XYZ file:
```
5
Lattice="3.7016 0.0000 0.0000 0.0000 3.7016 0.0000 0.0000 0.0000 6.3924" Properties=species:S:1:pos:R:3 pbc="T T T"
Li 0.0000 0.0000 0.0000
Pt 1.8508 1.8508 3.1962
N 0.0000 1.8508 3.1962
N 1.8508 0.0000 3.1962
F 1.8508 1.8508 0.0000
```

## Properties
The value obtained for the volume is 17.517 A^3/atom. The density of states at the Fermi level comes out at 2.35 states/eV/f.u. As for the size of the total moment: 0.00 μB per formula unit.


Most stable: (b) (next structure +1016 meV/atom)